{
  "formula": "Gd2Fe17N2",
  "functional": "PBE",
  "state": "relaxed",
  "lattice": [[4.281, 4.804, 0.012], [-4.281, 4.804, 0.012], [0.000, 1.030, 6.327]],
  "species": ["Fe", "N", "Fe", "Gd", "Fe", "Fe", "Fe", "Fe", "Fe", "Fe", "Fe", "Fe", "Fe", "Fe", "Fe", "Fe", "N", "Fe", "Fe", "Fe", "Gd"],
  "fractional_positions": [[0.000, 0.000, 0.500], [0.500, 0.000, 0.500], [0.654, 0.148, 0.661], [0.346, 0.346, 0.340], [0.719, 0.997, 0.287], [0.654, 0.654, 0.144], [0.725, 0.275, 0.000], [0.500, 0.000, 0.000], [0.346, 0.852, 0.339], [0.905, 0.905, 0.905], [0.003, 0.281, 0.713], [0.275, 0.725, 0.000], [0.000, 0.500, 0.000], [0.281, 0.003, 0.713], [0.852, 0.346, 0.339], [0.997, 0.719, 0.287], [0.000, 0.500, 0.500], [0.095, 0.095, 0.095], [0.148, 0.654, 0.661], [0.346, 0.346, 0.856], [0.654, 0.654, 0.660]],
  "formation_energy_uncorrected_ev_per_fu": -1.5,
  "magnetic_moment_mub_per_atom": 1.528,
  "final_energy_ha_per_atom": -0.333
}